Entry 1:
Compound: NdTm2In3Te6
Source: Alexandria via LeMat-Bulk
Functional: PBE-GGA
Structure: optimized geometry

Summary:
- M_tot: 0.000 μB per cell
- Crystal system: monoclinic
- Uncorrected energy: -4.355 eV per atom
- E_form (uncorrected): -956.7 meV per atom

Geometry as CIF:
```
data_NdTm2In3Te6
_cell_length_a 7.6702
_cell_length_b 13.2785
_cell_length_c 8.5046
_cell_angle_alpha 90.00
_cell_angle_beta 107.49
_cell_angle_gamma 90.00
_symmetry_space_group_name_H-M 'C 1 2/m 1'
_symmetry_Int_Tables_number 12
loop_
_symmetry_equiv_pos_as_xyz
'x,y,z'
'-x,-y,-z'
'-x,y,-z'
'x,-y,z'
'x+1/2,y+1/2,z'
'-x+1/2,-y+1/2,-z'
'-x+1/2,y+1/2,-z'
'x+1/2,-y+1/2,z'
loop_
_atom_site_label
_atom_site_type_symbol
_atom_site_fract_x
_atom_site_fract_y
_atom_site_fract_z
Nd1 Nd 0.0000 0.0000 0.0000
Tm1 Tm 0.0000 0.3329 0.0000
In1 In 0.0000 0.1635 0.5000
In2 In 0.0000 0.5000 0.5000
Te1 Te 0.2281 0.5000 0.2168
Te2 Te 0.2455 0.1720 0.2201
```



Entry 2:
Compound: Sr2TlTeAu
Source: Alexandria via LeMat-Bulk
Functional: PBE-GGA
Structure: optimized geometry

Summary:
- M_tot: 0.000 μB per cell
- Crystal system: tetragonal
- Uncorrected energy: -2.766 eV per atom
- E_form (uncorrected): -335.7 meV per atom

Geometry as CIF:
```
data_Sr2TlTeAu
_cell_length_a 6.1954
_cell_length_b 6.1954
_cell_length_c 5.3661
_cell_angle_alpha 90.00
_cell_angle_beta 90.00
_cell_angle_gamma 90.00
_symmetry_space_group_name_H-M 'P 4/m m m'
_symmetry_Int_Tables_number 123
_symmetry_space_group_name_Hall '-P 4 2'
loop_
_atom_site_label
_atom_site_type_symbol
_atom_site_fract_x
_atom_site_fract_y
_atom_site_fract_z
Sr1 Sr 0.0000 0.5000 0.0000
Tl1 Tl 0.0000 0.0000 0.5000
Te1 Te 0.5000 0.5000 0.0000
Au1 Au 0.5000 0.5000 0.5000
```



Entry 3:
Compound: LiPrPa4N8
Source: Alexandria via LeMat-Bulk
Functional: PBE-GGA
Structure: optimized geometry

Summary:
- M_tot: 0.000 μB per cell
- Crystal system: trigonal
- Uncorrected energy: -9.359 eV per atom
- E_form (uncorrected): -1410.1 meV per atom

Geometry as CIF:
```
data_LiPrPa4N8
_cell_length_a 7.1136
_cell_length_b 7.1136
_cell_length_c 15.7866
_cell_angle_alpha 90.00
_cell_angle_beta 90.00
_cell_angle_gamma 120.00
_symmetry_space_group_name_H-M 'R 3 m'
_symmetry_Int_Tables_number 160
_symmetry_space_group_name_Hall 'R 3 -2"'
loop_
_atom_site_label
_atom_site_type_symbol
_atom_site_fract_x
_atom_site_fract_y
_atom_site_fract_z
Li1 Li 0.0000 0.0000 0.0000
Pr1 Pr 0.0000 0.0000 0.6199
Pa1 Pa 0.0000 0.0000 0.3946
Pa2 Pa 0.0026 0.5013 0.5031
N1 N 0.0000 0.0000 0.2487
N2 N 0.0000 0.0000 0.7683
N3 N 0.0139 0.5070 0.7596
N4 N 0.1815 0.3630 0.5668
```



Entry 4:
Compound: Sb3SeS
Source: Alexandria via LeMat-Bulk
Functional: PBE-GGA
Structure: optimized geometry

Summary:
- M_tot: 0.864 μB per cell
- Energy above the lowest structure with this stoichiometry: 0.276 eV per atom
- Crystal system: cubic
- Uncorrected energy: -3.062 eV per atom
- E_form (uncorrected): 933.4 meV per atom

Geometry as CIF:
```
data_Sb3SeS
_cell_length_a 5.3994
_cell_length_b 5.3994
_cell_length_c 5.3994
_cell_angle_alpha 90.00
_cell_angle_beta 90.00
_cell_angle_gamma 90.00
_symmetry_space_group_name_H-M 'P m -3 m'
_symmetry_Int_Tables_number 221
_symmetry_space_group_name_Hall '-P 4 2 3'
loop_
_atom_site_label
_atom_site_type_symbol
_atom_site_fract_x
_atom_site_fract_y
_atom_site_fract_z
Sb1 Sb 0.0000 0.0000 0.5000
Se1 Se 0.0000 0.0000 0.0000
S1 S 0.5000 0.5000 0.5000
```



Number 3 is which compound?
LiPrPa4N8



Among the records above, which one has the lowest uncorrected energy?
LiPrPa4N8



Among the records above, which one has the highest uncorrected energy?
Sr2TlTeAu



The highest M_tot belongs to which entry?
Sb3SeS